{"formula": "CrPSe2", "functional": "GGA-PBE", "state": "optimized geometry", "lattice_angstrom": [[1.773, 1.024, 7.898], [-1.773, 1.024, 7.898], [0.000, -2.047, 7.898]], "species": ["Cr", "P", "Se", "Se"], "fractional_positions": [[0.000, 0.000, 0.000], [0.500, 0.500, 0.500], [0.394, 0.394, 0.394], [0.606, 0.606, 0.606]]}

=====

{"formula": "CrPSe2", "functional": "GGA-PBE", "state": "optimized geometry", "lattice_angstrom": [[3.169, 0.000, 0.000], [0.000, 3.169, 0.000], [0.000, 0.000, 6.730]], "species": ["Cr", "P", "Se", "Se"], "fractional_positions": [[0.000, 0.000, 0.000], [0.000, 0.000, 0.500], [0.500, 0.500, 0.215], [0.500, 0.500, 0.785]]}

=====

{"formula": "CrPSe2", "functional": "GGA-PBE", "state": "optimized geometry", "lattice_angstrom": [[-1.825, 1.863, 6.491], [1.825, -1.863, 6.491], [1.825, 1.863, -6.491]], "species": ["Cr", "P", "Se", "Se"], "fractional_positions": [[0.000, 0.000, 0.000], [0.500, 0.500, 0.000], [0.139, 0.639, 0.500], [0.861, 0.361, 0.500]]}

=====

{"formula": "CrPSe2", "functional": "GGA-PBE", "state": "optimized geometry", "lattice_angstrom": [[2.846, 0.000, 0.000], [0.000, 2.846, 0.000], [0.000, 0.000, 9.841]], "species": ["Cr", "P", "Se", "Se"], "fractional_positions": [[0.000, 0.000, 0.000], [0.000, 0.000, 0.500], [0.500, 0.500, 0.156], [0.500, 0.500, 0.844]]}

=====

{"formula": "CrPSe", "functional": "GGA-PBE", "state": "optimized geometry", "lattice_angstrom": [[-1.453, 1.453, 5.939], [1.453, -1.453, 5.939], [1.453, 1.453, -5.939]], "species": ["Cr", "P", "Se"], "fractional_positions": [[0.000, 0.000, 0.000], [0.387, 0.387, 0.000], [0.626, 0.626, 0.000]]}

=====

{"formula": "CrPSe2", "functional": "GGA-PBE", "state": "optimized geometry", "lattice_angstrom": [[1.546, 0.893, 8.812], [-1.546, 0.893, 8.812], [0.000, -1.785, 8.812]], "species": ["Cr", "P", "Se", "Se"], "fractional_positions": [[0.000, 0.000, 0.000], [0.725, 0.725, 0.725], [0.272, 0.272, 0.272], [0.467, 0.467, 0.467]]}

=====

{"formula": "CrPSe", "functional": "GGA-PBE", "state": "optimized geometry", "lattice_angstrom": [[3.060, 0.000, 0.000], [0.000, 5.995, 0.000], [-1.497, -2.502, 6.326]], "species": ["Cr", "Cr", "P", "P", "Se", "Se"], "fractional_positions": [[0.240, 0.306, 0.479], [0.760, 0.694, 0.521], [0.185, 0.888, 0.367], [0.815, 0.112, 0.633], [0.388, 0.673, 0.783], [0.612, 0.327, 0.217]]}

=====

{"formula": "CrPSe2", "functional": "GGA-PBE", "state": "optimized geometry", "lattice_angstrom": [[4.084, 0.000, 0.000], [0.000, 3.991, 0.000], [-1.055, 0.000, 5.478]], "species": ["Cr", "P", "Se", "Se"], "fractional_positions": [[0.000, 0.000, 0.000], [0.273, 0.500, 0.028], [0.443, 0.000, 0.727], [0.824, 0.500, 0.265]]}

=====

{"formula": "CrPSe", "functional": "GGA-PBE", "state": "optimized geometry", "lattice_angstrom": [[3.158, 0.000, 0.000], [-1.579, 2.735, 0.000], [0.000, 0.000, 5.590]], "species": ["Cr", "P", "Se"], "fractional_positions": [[0.000, 0.000, 0.000], [0.667, 0.333, 0.261], [0.333, 0.667, 0.711]]}

=====

{"formula": "CrPSe", "functional": "GGA-PBE", "state": "optimized geometry", "lattice_angstrom": [[5.584, 0.000, 0.000], [0.000, 3.114, 0.000], [-2.718, 0.000, 5.752]], "species": ["Cr", "Cr", "P", "P", "Se", "Se"], "fractional_positions": [[0.000, 0.000, 0.000], [0.203, 0.500, 0.728], [0.382, 0.500, 0.139], [0.542, 0.000, 0.972], [0.119, 0.000, 0.426], [0.768, 0.500, 0.698]]}

=====

{"formula": "CrPSe2", "functional": "GGA-PBE", "state": "optimized geometry", "lattice_angstrom": [[3.547, 0.000, 0.000], [0.000, 3.547, 0.000], [0.000, 0.000, 7.568]], "species": ["Cr", "P", "Se", "Se"], "fractional_positions": [[0.000, 0.000, 0.000], [0.000, 0.500, 0.500], [0.500, 0.000, 0.500], [0.500, 0.500, 0.000]]}

=====

{"formula": "Cr2SiPSe", "functional": "GGA-PBE", "state": "optimized geometry", "lattice_angstrom": [[4.711, 0.000, 0.000], [0.000, 4.711, 0.000], [0.000, 0.000, 4.891]], "species": ["Cr", "Cr", "Si", "P", "Se"], "fractional_positions": [[0.000, 0.500, 0.000], [0.500, 0.000, 0.000], [0.000, 0.000, 0.500], [0.500, 0.500, 0.500], [0.500, 0.500, 0.000]]}

=====

N(E_F)? In order: 1.958; 2.838; 1.373; 3.276; 2.328; 2.636; 2.192; 1.847; 2.110; 2.581; 2.302; 4.066 states/eV per cell.
Uncorrected formation energy? In order: 0.062; 0.331; -0.075; 0.314; -0.008; -0.021; -0.344; 0.050; -0.119; -0.147; 0.248; 1.048 eV per atom.